No. 1
VASP calculation (PBEsol) on an optimized crystal structure of Mn3BN.

The space group is Pm-3m (No. 221) and the conventional cell measures 3.6031, 3.6031 and 3.6031 Å, with angles of 90.00, 90.00 and 90.00 degrees. The distinct sites, in fractional coordinates, are Mn at (0.0000, 0.0000, 0.5000), B at (0.5000, 0.5000, 0.5000) and N at (0.0000, 0.0000, 0.0000).

The value obtained for the formation energy from raw total energies is 20.3 meV per atom. For the volume, the calculation gives 9.36 Å³ per atom. Its crystal system is cubic. The calculation puts the magnetic moment at 2.64 μB/cell. As for the energy: -0.32872 Ha/atom.

---

No. 2
VASP calculation (PBEsol) on an optimized crystal structure of CuTc2Ni.

The space group is Pmm2 (No. 25) and the conventional cell measures 2.5294, 4.2689 and 4.5800 Å, with angles of 90.00, 90.00 and 90.00 degrees. The distinct sites, in fractional coordinates, are Cu at (0.0000, 0.0000, 0.0000), Tc at (0.5000, 0.0000, 0.5073), Tc at (0.5000, 0.5000, 0.1992) and Ni at (0.0000, 0.5000, 0.7076).

The energy above the most stable polymorph in this dataset comes out at 0 meV per atom. The value obtained for the formation energy from the elements is 0.099 eV/atom. For the volume, the calculation gives 12.36 Å³ per atom. Its crystal system is orthorhombic. The calculation puts the magnetic moment at 0.00 μB/cell. As for the energy: -0.29978 Ha/atom.

---

No. 3
VASP calculation (PBEsol) on an optimized crystal structure of ZrCr2Cl.

The space group is Cm (No. 8) and the conventional cell measures 9.0862, 2.9298 and 5.0830 Å, with angles of 90.00, 114.66 and 90.00 degrees. The distinct sites, in fractional coordinates, are Zr at (0.0000, 0.0000, 0.0000), Cr at (0.1524, 0.0000, 0.6287), Cr at (0.4557, 0.0000, 0.4819) and Cl at (0.2516, 0.5000, 0.0893).

The value obtained for the formation energy from raw total energies is 225.6 meV per atom. For the volume, the calculation gives 15.37 Å³ per atom. Its crystal system is monoclinic. The calculation puts the magnetic moment at 0.00 μB/cell. As for the energy: -0.28186 Ha/atom.